1.
Computed, not measured: a PBEsol-optimized structure of CaNiMo2 at the SCAN level of DFT.

a = 2.697 Å, b = 2.697 Å, c = 8.815 Å
α = 90.00°, β = 90.00°, γ = 90.00°
Space group P4mm (No. 99)
Asymmetric unit:
Ca 0.000 0.000 0.000 (multiplicity 1)
Ni 0.500 0.500 0.747 (multiplicity 1)
Mo 0.000 0.000 0.559 (multiplicity 1)
Mo 0.500 0.500 0.301 (multiplicity 1)

Computed properties:
Its volume is 64.1 Å³ per cell. As for the relative energy among the computed polymorphs: 0 meV per atom. The density of states at the Fermi level comes out at 0.83 states/eV per atom.

***

2.
Computed, not measured: a PBEsol-optimized structure of NaAg2Bi2 at the SCAN level of DFT.

a = 8.388 Å, b = 8.388 Å, c = 3.455 Å
α = 90.00°, β = 90.00°, γ = 90.00°
Space group P4/mbm (No. 127)
Asymmetric unit:
Na 0.000 0.000 0.000 (multiplicity 2)
Ag 0.121 0.379 0.000 (multiplicity 4)
Bi 0.175 0.675 0.500 (multiplicity 4)

Computed properties:
Its volume is 243.1 Å³ per cell. As for the relative energy among the computed polymorphs: 27 meV per atom. The density of states at the Fermi level comes out at 0.39 states/eV per atom.